Material: CaIn4Cu4
Method: DFT, PBE
State: relaxed

Output
ΔE_f (eV/atom): 0.01
VASP energy (eV/cell): -58.5
Symmetry: No. 86

Structure (extended XYZ):
```
18
Lattice="8.7775 0.0000 0.0000 0.0000 8.7775 0.0000 0.0000 0.0000 5.2649" Properties=species:S:1:pos:R:3 pbc="T T T"
Ca 2.1944 2.1944 1.3162
Ca 6.5831 6.5831 3.9487
In 0.9703 5.4974 0.7590
In 1.1087 7.8072 3.3914
In 3.2801 5.3590 3.3914
In 3.4184 7.6688 0.7590
In 5.3590 1.1087 4.5060
In 5.4974 3.4184 1.8735
In 7.6688 0.9703 1.8735
In 7.8072 3.2801 4.5060
Cu 0.5969 5.1190 3.3924
Cu 0.7302 8.1806 0.7600
Cu 3.6585 4.9856 0.7600
Cu 3.7919 8.0472 3.3924
Cu 4.9856 0.7302 1.8725
Cu 5.1190 3.7919 4.5050
Cu 8.0472 0.5969 4.5050
Cu 8.1806 3.6585 1.8725
```

Material: CaInCu2
Method: DFT, PBE
State: relaxed

Output
ΔE_f (eV/atom): -0.03
VASP energy (eV/cell): -13.1
Symmetry: No. 44

Structure (extended XYZ):
```
4
Lattice="-1.8318 2.4199 4.4870 1.8318 -2.4199 4.4870 1.8318 2.4199 -4.4870" Properties=species:S:1:pos:R:3 pbc="T T T"
Ca 0.0000 0.0000 0.0000
In 0.0000 2.4199 1.9180
Cu 1.8318 0.0000 2.5203
Cu 0.0000 0.0000 4.1863
```

Material: Ca8In2Cu
Method: DFT, PBE
State: relaxed

Output
ΔE_f (eV/atom): -0.21
VASP energy (eV/cell): -27.9
Symmetry: No. 12

Structure (extended XYZ):
```
11
Lattice="9.4287 -2.7325 0.0000 9.4287 2.7325 0.0000 -2.3980 0.0000 6.9624" Properties=species:S:1:pos:R:3 pbc="T T T"
Ca -0.2657 0.0000 1.9907
Ca 1.9654 0.0000 5.5142
Ca 5.1855 0.0000 3.8100
Ca 7.4508 0.0000 0.4654
Ca 9.0087 0.0000 6.4970
Ca 11.2740 0.0000 3.1524
Ca 14.4940 0.0000 1.4482
Ca 16.7251 0.0000 4.9717
In 2.9117 0.0000 1.4265
In 13.5477 0.0000 5.5359
Cu 8.2297 0.0000 3.4812
```

Material: Ca2In6CuIr
Method: DFT, PBE
State: relaxed

Output
ΔE_f (eV/atom): -0.09
VASP energy (eV/cell): -34.3
Symmetry: No. 225

Structure (extended XYZ):
```
10
Lattice="0.0000 5.1302 5.1302 5.1302 0.0000 5.1302 5.1302 5.1302 0.0000" Properties=species:S:1:pos:R:3 pbc="T T T"
Ca 2.5651 2.5651 2.5651
Ca 7.6953 7.6953 7.6953
In 5.1302 5.1302 2.5093
In 5.1302 2.5093 5.1302
In 7.7512 5.1302 5.1302
In 2.5093 5.1302 5.1302
In 5.1302 7.7512 5.1302
In 5.1302 5.1302 7.7512
Cu 0.0000 0.0000 0.0000
Ir 5.1302 5.1302 5.1302
```

Size of the total moment? In order: 0.0, 0.0, 0.0, 0.0 Bohr magnetons per cell.